[1]
DFT (GGA-PBE) results for a geometry-optimized VReSeN2 structure.

Unit cell a=3.8230 b=3.8230 c=5.3601 alpha=90.00 beta=90.00 gamma=90.00
Fractional coordinates of all 5 atoms:
V  0.0000  0.0000  0.0000
Re  0.5000  0.5000  0.5000
Se  0.5000  0.5000  0.0000
N  0.0000  0.5000  0.5000
N  0.5000  0.0000  0.5000

Properties
* symmetry: P4/mmm (123)
* E above lowest polymorph: 0.000 eV per atom
* raw formation energy: 0.694 eV per atom

***

[2]
DFT (GGA-PBE) results for a geometry-optimized RbSbAuBr2 structure.

Unit cell a=6.1572 b=6.1572 c=5.9536 alpha=90.00 beta=90.00 gamma=90.00
Fractional coordinates of all 5 atoms:
Rb  0.0000  0.0000  0.0000
Sb  0.5000  0.5000  0.5000
Au  0.0000  0.0000  0.5000
Br  0.0000  0.5000  0.0000
Br  0.5000  0.0000  0.0000

Properties
* symmetry: P4/mmm (123)
* raw formation energy: 0.473 eV per atom

***

[3]
DFT (GGA-PBE) results for a geometry-optimized AcGaSb3 structure.

Unit cell a=14.6574 b=6.2137 c=6.5622 alpha=90.00 beta=90.00 gamma=90.00
Fractional coordinates of all 20 atoms:
Ac  0.1813  0.0055  0.2500
Ac  0.1813  0.4945  0.7500
Ac  0.8187  0.5055  0.2500
Ac  0.8187  0.9945  0.7500
Ga  0.3956  0.2500  0.0000
Ga  0.3956  0.2500  0.5000
Ga  0.6044  0.7500  0.0000
Ga  0.6044  0.7500  0.5000
Sb  0.0009  0.7500  0.0000
Sb  0.0009  0.7500  0.5000
Sb  0.2639  0.5110  0.2500
Sb  0.2639  0.9890  0.7500
Sb  0.4203  0.6640  0.7500
Sb  0.4203  0.8360  0.2500
Sb  0.5797  0.1640  0.7500
Sb  0.5797  0.3360  0.2500
Sb  0.7361  0.0110  0.2500
Sb  0.7361  0.4890  0.7500
Sb  0.9991  0.2500  0.0000
Sb  0.9991  0.2500  0.5000

Properties
* symmetry: Pbcm (57)
* E above lowest polymorph: 0.000 eV per atom
* raw formation energy: -0.431 eV per atom

***

[4]
DFT (GGA-PBE) results for a geometry-optimized TlV2FeN structure.

Unit cell a=4.0223 b=4.0223 c=4.0063 alpha=90.00 beta=90.00 gamma=90.00
Fractional coordinates of all 5 atoms:
Tl  0.0000  0.0000  0.0000
V  0.0000  0.5000  0.5000
V  0.5000  0.0000  0.5000
Fe  0.5000  0.5000  0.0000
N  0.5000  0.5000  0.5000

Properties
* symmetry: P4/mmm (123)
* raw formation energy: -0.160 eV per atom

***

[5]
DFT (GGA-PBE) results for a geometry-optimized HfSc3C structure.

Unit cell a=5.1001 b=5.1001 c=5.1001 alpha=90.00 beta=90.00 gamma=90.00
Fractional coordinates of all 5 atoms:
Hf  0.0000  0.0000  0.0000
Sc  0.0000  0.0000  0.5000
Sc  0.0000  0.5000  0.0000
Sc  0.5000  0.0000  0.0000
C  0.5000  0.5000  0.5000

Properties
* symmetry: Pm-3m (221)
* E_form: 2.0589 eV/atom
* E above lowest polymorph: 2.079 eV per atom

***

[6]
DFT (GGA-PBE) results for a geometry-optimized LaOs2Ru structure.

Unit cell a=2.8195 b=2.8195 c=9.6592 alpha=90.00 beta=90.00 gamma=116.95
Fractional coordinates of all 4 atoms:
La  0.0000  0.0000  0.0000
Os  0.5000  0.5000  0.2748
Os  0.5000  0.5000  0.7252
Ru  0.0000  0.0000  0.5000

Properties
* symmetry: Cmmm (65)
* E_form: 0.7741 eV/atom
* E above lowest polymorph: 0.451 eV per atom

***

Short version: D(E_F) = 7.3; 5.2; 11.3; 4.3; 5.1; 5.6 states/eV/cell, in the order given.
Short version: calculated total energy = -38.23; -9.35; -86.63; -38.19; -27.88; -33.57 eV/cell, in the order given.